Record 1
The following is a DFT calculation (PBE) of crystalline Pr5Dy4Tl4 at its relaxed geometry.

## Properties
symmetry	No. 87
volume	31.78	Å³/atom
energy relative to the elements	-0.249	eV/atom

Unit cell a=5.075 b=9.373 c=9.373 alpha=85.80 beta=74.29 gamma=74.29
Fractional coordinates of all 13 atoms:
1 Pr 0.000 0.000 0.000
2 Dy 0.400 0.693 0.507
3 Pr 0.393 0.301 0.912
4 Tl 0.761 0.333 0.145
5 Tl 0.094 0.145 0.667
6 Tl 0.239 0.667 0.855
7 Pr 0.695 0.912 0.699
8 Pr 0.607 0.699 0.088
9 Dy 0.600 0.307 0.493
10 Dy 0.907 0.493 0.693
11 Dy 0.093 0.507 0.307
12 Pr 0.305 0.088 0.301
13 Tl 0.906 0.855 0.333

***

Record 2
The following is a DFT calculation (PBE) of crystalline PrNdSmDy at its relaxed geometry.

## Properties
energy above the most stable polymorph in this dataset	108	meV/atom
symmetry	No. 216
volume	34.23	Å³/atom
energy relative to the elements	0.124	eV/atom

Unit cell a=5.785 b=5.785 c=5.785 alpha=60.00 beta=60.00 gamma=60.00
Fractional coordinates of all 4 atoms:
1 Pr 0.750 0.750 0.750
2 Nd 0.250 0.250 0.250
3 Dy 0.500 0.500 0.500
4 Sm 0.000 0.000 0.000

***

Record 3
The following is a DFT calculation (PBE) of crystalline BaLiPd4 at its relaxed geometry.

## Properties
symmetry	No. 216
volume	19.94	Å³/atom
energy relative to the elements	-0.398	eV/atom

Unit cell a=5.531 b=5.531 c=5.531 alpha=60.00 beta=60.00 gamma=60.00
Fractional coordinates of all 6 atoms:
1 Pd 0.626 0.626 0.626
2 Pd 0.626 0.626 0.123
3 Pd 0.626 0.123 0.626
4 Li 0.000 0.000 0.000
5 Ba 0.250 0.250 0.250
6 Pd 0.123 0.626 0.626

***

Here are the calculated total magnetic moment numbers, same order: 0.0; 0.0; 0.0 (Bohr magnetons per cell).
Here are the calculated uncorrected energy numbers, same order: -4.231; -4.593; -4.500 (eV/atom).